1.
## CsY2Ni (PBE-GGA)

Data for a geometry-optimized CsY2Ni structure.

The structure in POSCAR format:
```
CsY2Ni
1.0
-4.130 4.130 5.880
4.130 -4.130 5.880
4.130 4.130 -5.880
Cs Y Ni
2 4 2
Cartesian
0.000 0.000 0.000
0.000 4.130 2.940
2.065 -0.014 4.410
4.116 2.065 1.470
2.065 4.143 -1.470
0.014 2.065 7.350
4.130 0.000 2.940
0.000 0.000 5.880
```

Summary:
For the size of the total moment, the calculation gives 0.0 μB per cell. The calculation puts the formation energy from the elements at 1.99 eV/f.u. The symmetry is I-42d (122). The density comes out at 3.1 g cm⁻³.


2.
## CsY3Ni (PBE-GGA)

Data for a geometry-optimized CsY3Ni structure.

The structure in POSCAR format:
```
CsY3Ni
1.0
5.537 0.000 0.000
0.000 5.537 0.000
0.000 0.000 5.537
Cs Y Ni
1 3 1
Cartesian
0.000 0.000 0.000
0.000 2.769 2.769
2.769 0.000 2.769
2.769 2.769 0.000
2.769 2.769 2.769
```

Summary:
For the size of the total moment, the calculation gives 0.0 μB per cell. The calculation puts the formation energy from the elements at 1.14 eV/f.u. The symmetry is Pm-3m (221). The density comes out at 4.5 g cm⁻³. The calculation puts the energy above the most stable polymorph in this dataset at 0 meV/atom.


3.
## CsY3Ni (PBE-GGA)

Data for a geometry-optimized CsY3Ni structure.

The structure in POSCAR format:
```
CsY3Ni
1.0
5.526 0.000 0.000
0.000 5.526 0.000
0.000 0.000 5.526
Cs Y Ni
1 3 1
Cartesian
0.000 0.000 0.000
0.000 0.000 2.763
0.000 2.763 0.000
2.763 0.000 0.000
2.763 2.763 2.763
```

Summary:
For the size of the total moment, the calculation gives 0.0 μB per cell. The calculation puts the formation energy from the elements at 8.43 eV/f.u. The symmetry is Pm-3m (221). The density comes out at 4.5 g cm⁻³. The calculation puts the energy above the most stable polymorph in this dataset at 1459 meV/atom.


4.
## Cs2YNi (PBE-GGA)

Data for a geometry-optimized Cs2YNi structure.

The structure in POSCAR format:
```
Cs2YNi
1.0
-6.958 6.958 2.511
6.958 -6.958 2.511
6.958 6.958 -2.511
Cs Y Ni
4 2 2
Cartesian
1.211 3.479 0.628
-3.479 5.746 1.883
-1.211 10.436 0.628
3.479 8.169 1.883
6.958 0.000 1.255
0.000 0.000 2.511
0.000 0.000 0.000
0.000 6.958 1.255
```

Summary:
For the size of the total moment, the calculation gives 0.0 μB per cell. The calculation puts the formation energy from the elements at 2.49 eV/f.u. The symmetry is I-42d (122). The density comes out at 2.8 g cm⁻³. The calculation puts the energy above the most stable polymorph in this dataset at 0 meV/atom.


5.
## CsYNi3 (PBE-GGA)

Data for a geometry-optimized CsYNi3 structure.

The structure in POSCAR format:
```
CsYNi3
1.0
4.854 0.000 0.000
0.000 4.854 0.000
0.000 0.000 4.854
Cs Y Ni
1 1 3
Cartesian
0.000 0.000 0.000
2.427 2.427 2.427
0.000 0.000 2.427
0.000 2.427 0.000
2.427 0.000 0.000
```

Summary:
For the size of the total moment, the calculation gives 0.0 μB per cell. The calculation puts the formation energy from the elements at 7.62 eV/f.u. The symmetry is Pm-3m (221). The density comes out at 5.8 g cm⁻³. The calculation puts the energy above the most stable polymorph in this dataset at 468 meV/atom.


6.
## CsZnNi (PBE-GGA)

Data for a geometry-optimized CsZnNi structure.

The structure in POSCAR format:
```
CsZnNi
1.0
4.151 0.000 0.000
0.000 5.024 0.000
2.026 0.011 10.532
Cs Zn Ni
2 2 2
Cartesian
0.000 0.000 0.000
2.069 2.525 4.738
4.107 2.535 7.996
4.107 0.024 7.271
2.031 1.279 7.642
2.031 3.791 7.631
```

Summary:
For the size of the total moment, the calculation gives 0.0 μB per cell. The calculation puts the formation energy from the elements at 0.22 eV/f.u. The symmetry is P1 (1). The density comes out at 3.9 g cm⁻³. The calculation puts the energy above the most stable polymorph in this dataset at 10 meV/atom.


7.
## Cs2ZnNi (PBE-GGA)

Data for a geometry-optimized Cs2ZnNi structure.

The structure in POSCAR format:
```
Cs2ZnNi
1.0
0.000 4.329 4.329
4.329 0.000 4.329
4.329 4.329 0.000
Cs Zn Ni
2 1 1
Cartesian
2.164 2.164 2.164
6.493 6.493 6.493
0.000 0.000 0.000
4.329 4.329 4.329
```

Summary:
For the size of the total moment, the calculation gives 0.2 μB per cell. The calculation puts the formation energy from the elements at 2.48 eV/f.u. The symmetry is Fm-3m (225). The density comes out at 4.0 g cm⁻³. The calculation puts the energy above the most stable polymorph in this dataset at 305 meV/atom.


8.
## Cs2ZnNi (PBE-GGA)

Data for a geometry-optimized Cs2ZnNi structure.

The structure in POSCAR format:
```
Cs2ZnNi
1.0
-6.259 6.259 2.365
6.259 -6.259 2.365
6.259 6.259 -2.365
Cs Zn Ni
4 2 2
Cartesian
0.988 3.130 0.591
-3.130 5.271 1.774
-0.988 9.389 0.591
3.130 7.247 1.774
6.259 0.000 1.182
0.000 0.000 2.365
0.000 0.000 0.000
0.000 6.259 1.182
```

Summary:
For the size of the total moment, the calculation gives 0.0 μB per cell. The calculation puts the formation energy from the elements at 1.25 eV/f.u. The symmetry is I-42d (122). The density comes out at 3.5 g cm⁻³. The calculation puts the energy above the most stable polymorph in this dataset at 0 meV/atom.